Material: TcOsPt2
Method: DFT, PBE
State: optimized geometry

## Properties
DOS(E_F) = 9.24 states/eV/cell
E = -8.43 eV per atom
E above lowest polymorph = 0.081 eV/atom
energy of formation = -0.010 eV per atom

Structure (POSCAR):
```
TcOsPt2
1.0
9.223 0.000 0.000
0.000 2.729 0.000
-0.796 0.000 4.747
Tc Os Pt
2 2 4
Cartesian
0.000 0.000 0.000
4.611 1.365 0.000
1.746 0.000 3.668
6.357 1.365 3.668
-0.347 1.365 2.449
2.103 1.365 1.234
4.264 0.000 2.449
6.715 0.000 1.234
```

Material: TcOsPt2
Method: DFT, PBE
State: optimized geometry

## Properties
DOS(E_F) = 4.23 states/eV/cell
E = -8.37 eV per atom
E above lowest polymorph = 0.144 eV/atom
energy of formation = 0.053 eV per atom

Structure (POSCAR):
```
TcOsPt2
1.0
4.783 0.000 0.000
0.000 2.761 0.000
-1.588 0.000 4.521
Tc Os Pt
1 1 2
Cartesian
0.000 0.000 0.000
2.391 1.381 0.000
-0.794 1.381 2.260
1.597 0.000 2.260
```

Material: TcOsPt
Method: DFT, PBE
State: optimized geometry

## Properties
DOS(E_F) = 6.02 states/eV/cell
E = -9.24 eV per atom
E above lowest polymorph = 0.056 eV/atom
energy of formation = -0.026 eV per atom

Structure (POSCAR):
```
TcOsPt
1.0
2.731 0.000 0.000
0.000 3.900 0.000
0.000 0.000 8.314
Tc Os Pt
2 2 2
Cartesian
0.000 0.000 0.000
1.365 1.950 4.157
0.000 0.000 5.421
1.365 1.950 1.264
0.000 0.000 2.707
1.365 1.950 6.864
```

Material: TcOsPt
Method: DFT, PBE
State: optimized geometry

## Properties
DOS(E_F) = 5.00 states/eV/cell
E = -9.26 eV per atom
E above lowest polymorph = 0.031 eV/atom
energy of formation = -0.051 eV per atom

Structure (POSCAR):
```
TcOsPt
1.0
4.799 0.000 0.000
2.397 4.163 0.000
2.328 1.399 4.411
Tc Os Pt
2 2 2
Cartesian
1.578 1.405 1.109
7.947 4.157 3.302
3.992 2.778 1.101
5.533 2.784 3.310
3.164 1.412 3.315
6.361 4.150 1.096
```

Material: TcOsPt
Method: DFT, PBE
State: optimized geometry

## Properties
DOS(E_F) = 3.04 states/eV/cell
E = -9.24 eV per atom
E above lowest polymorph = 0.053 eV/atom
energy of formation = -0.029 eV per atom

Structure (POSCAR):
```
TcOsPt
1.0
2.748 0.000 0.000
-1.374 2.380 0.000
0.000 0.000 6.811
Tc Os Pt
1 1 1
Cartesian
0.000 0.000 0.000
1.374 0.793 4.719
0.000 1.587 2.339
```

Material: TcOsPt
Method: DFT, PBE
State: optimized geometry

## Properties
DOS(E_F) = 11.30 states/eV/cell
E = -9.23 eV per atom
E above lowest polymorph = 0.061 eV/atom
energy of formation = -0.021 eV per atom

Structure (POSCAR):
```
TcOsPt
1.0
4.747 0.000 0.000
0.000 8.330 0.000
-1.506 0.000 4.474
Tc Os Pt
4 4 4
Cartesian
0.000 0.000 0.000
0.000 2.755 0.000
2.373 4.165 0.000
2.373 6.920 0.000
-0.753 1.475 2.237
-0.753 7.073 2.237
1.620 2.908 2.237
1.620 5.640 2.237
-0.753 4.190 2.237
0.000 5.613 0.000
1.620 0.025 2.237
2.373 1.448 0.000
```

Material: Tc2OsPt
Method: DFT, PBE
State: optimized geometry

## Properties
DOS(E_F) = 13.11 states/eV/cell
E = -9.10 eV per atom
E above lowest polymorph = 0.537 eV/atom
energy of formation = 0.401 eV per atom

Structure (POSCAR):
```
Tc2OsPt
1.0
6.218 0.000 0.000
0.000 6.218 0.000
0.000 0.000 6.218
Tc Os Pt
8 4 4
Cartesian
0.000 0.000 0.000
0.000 3.109 3.109
1.555 1.555 1.555
1.555 4.664 4.664
3.109 0.000 3.109
3.109 3.109 0.000
4.664 1.555 4.664
4.664 4.664 1.555
0.000 0.000 3.109
0.000 3.109 0.000
3.109 0.000 0.000
3.109 3.109 3.109
1.555 1.555 4.664
1.555 4.664 1.555
4.664 1.555 1.555
4.664 4.664 4.664
```

Material: TcOsPt
Method: DFT, PBE
State: optimized geometry

## Properties
DOS(E_F) = 5.98 states/eV/cell
E = -9.26 eV per atom
E above lowest polymorph = 0.032 eV/atom
energy of formation = -0.050 eV per atom

Structure (POSCAR):
```
TcOsPt
1.0
4.826 0.000 0.000
0.000 2.742 0.000
-1.584 0.000 6.695
Tc Os Pt
2 2 2
Cartesian
0.000 0.000 0.000
0.035 0.000 4.243
0.871 1.371 2.119
3.283 0.000 2.137
0.816 1.371 6.574
2.466 1.371 4.357
```